# 1
A plane-wave DFT calculation with PBE was carried out for an optimized crystal structure of Ta2GeSb.

```
8
Lattice="-2.2496 0.1447 -3.4039 2.1855 -3.0678 -1.5749 -6.3005 -7.9131 1.3791" Properties=species:S:1:pos:R:3 pbc="T T T"
Sb 0.0000 0.0000 0.0000
Sb -4.2911 -4.6149 -2.2571
Ge -0.0320 -1.4615 -2.4894
Ge -2.0735 -6.2212 -1.3426
Ta -2.6843 -2.2728 -1.9437
Ta -0.5140 -3.8761 -1.1009
Ta -4.7264 -7.0633 -0.8493
Ta -4.8045 -8.4602 -3.3056
```

Results
Total magnetization   0.000 μB per cell
Final energy   -7.72 eV per atom
Uncorrected formation energy   1.568 eV/f.u.
Crystal system   tetragonal

***

# 2
A plane-wave DFT calculation with PBE was carried out for an optimized crystal structure of TaGe3Sb.

```
5
Lattice="5.0889 0.0000 0.0000 0.0000 5.0889 0.0000 0.0000 0.0000 5.0889" Properties=species:S:1:pos:R:3 pbc="T T T"
Sb 0.0000 0.0000 0.0000
Ge 0.0000 2.5444 0.0000
Ge 0.0000 0.0000 2.5444
Ge 2.5444 0.0000 0.0000
Ta 2.5444 2.5444 2.5444
```

Results
Total magnetization   0.000 μB per cell
Final energy   -4.27 eV per atom
Uncorrected formation energy   8.478 eV/f.u.
Crystal system   cubic

***

> Look up the total magnetization of the second one.

0.000 μB per cell